Record 1
Computed, not measured: NaSi2TeO6 after structural relaxation at the GGA-PBE level of DFT.

abc: 10.4651 9.8297 5.3947
angles: 90.00 106.37 90.00
Space group C2/c (No. 15)
Unique sites:
Na  0.0000  0.1002  0.2500 x4
Si  0.2289  0.4103  0.2184 x8
Te  0.0000  0.2881  0.7500 x4
O  0.1088  0.1136  0.6859 x8
O  0.1363  0.2749  0.1361 x8
O  0.1915  0.4880  0.4613 x8

Calculated values
- energy (eV/atom) = -6.544
- magnetization (μB per cell) = 4.00
- volume (A^3/atom) = 13.3

---

Record 2
Computed, not measured: PrDyPBr after structural relaxation at the GGA-PBE level of DFT.

abc: 4.0602 4.0602 22.0711
angles: 90.00 90.00 120.00
Space group R3m (No. 160, hexagonal axes)
Unique sites:
Pr  0.0000  0.0000  0.0000 x3
Dy  0.0000  0.0000  0.8018 x3
P  0.0000  0.0000  0.4077 x3
Br  0.0000  0.0000  0.2293 x3

Calculated values
- energy (eV/atom) = -5.587
- magnetization (μB per cell) = 0.00
- volume (A^3/atom) = 26.3

---

Record 3
Computed, not measured: CsZnN2F after structural relaxation at the GGA-PBE level of DFT.

abc: 4.4375 4.4375 4.9001
angles: 90.00 90.00 90.00
Space group P4/mmm (No. 123)
Unique sites:
Cs  0.0000  0.0000  0.0000 x1
Zn  0.5000  0.5000  0.5000 x1
N  0.0000  0.5000  0.0000 x2
F  0.0000  0.0000  0.5000 x1

Calculated values
- energy (eV/atom) = -2.347
- magnetization (μB per cell) = 0.19
- ΔE to the lowest computed polymorph (eV per atom) = 1.466
- volume (A^3/atom) = 19.3

---

no.,formation energy (no corrections) (eV/f.u.)
1,-20.4
2,-5.9
3,8.9